# 1
First-principles (PBE) data for a geometry-optimized CaPd3Cl structure, as listed in Alexandria.

Calculated values
**Uncorrected formation energy**: 0.706 eV per atom
**DOS at the Fermi energy**: 3.47 states/eV/f.u.
**E_tot**: -3.179 eV/atom

```
CaPd3Cl
1.0
5.038 0.000 0.000
0.000 5.038 0.000
0.000 0.000 5.038
Ca Pd Cl
1 3 1
Direct
0.000 0.000 0.000
0.000 0.000 0.500
0.000 0.500 0.000
0.500 0.000 0.000
0.500 0.500 0.500
```

***

# 2
First-principles (PBE) data for a geometry-optimized CaPdCl2 structure, as listed in Alexandria.

Calculated values
**Uncorrected formation energy**: -1.181 eV per atom
**DOS at the Fermi energy**: 0.00 states/eV/f.u.
**E_tot**: -3.903 eV/atom

```
CaPdCl2
1.0
6.816 0.000 0.000
0.000 6.816 0.000
0.000 0.000 6.816
Ca Pd Cl
4 4 8
Direct
0.000 0.000 0.000
0.000 0.500 0.500
0.500 0.000 0.500
0.500 0.500 0.000
0.000 0.000 0.500
0.000 0.500 0.000
0.500 0.000 0.000
0.500 0.500 0.500
0.250 0.250 0.250
0.250 0.250 0.750
0.250 0.750 0.250
0.250 0.750 0.750
0.750 0.250 0.250
0.750 0.250 0.750
0.750 0.750 0.250
0.750 0.750 0.750
```

***

# 3
First-principles (PBE) data for a geometry-optimized Ca2PdCl6 structure, as listed in Alexandria.

Calculated values
**Uncorrected formation energy**: -1.699 eV per atom
**E_tot**: -3.952 eV/atom

```
Ca2PdCl6
1.0
6.673 0.000 0.000
0.000 7.320 0.000
-4.567 0.000 10.131
Ca Pd Cl
4 2 12
Direct
0.161 0.127 0.218
0.161 0.373 0.718
0.839 0.627 0.282
0.839 0.873 0.782
0.500 0.000 0.000
0.500 0.500 0.500
0.163 0.630 0.887
0.163 0.870 0.387
0.167 0.148 0.955
0.167 0.352 0.455
0.485 0.089 0.795
0.485 0.411 0.295
0.515 0.589 0.705
0.515 0.911 0.205
0.833 0.648 0.545
0.833 0.852 0.045
0.837 0.130 0.613
0.837 0.370 0.113
```

***

# 4
First-principles (PBE) data for a geometry-optimized Ca2PdCl8 structure, as listed in Alexandria.

Calculated values
**Uncorrected formation energy**: -1.388 eV per atom
**E_tot**: -3.567 eV/atom

```
Ca2PdCl8
1.0
7.173 -3.117 0.000
7.173 3.117 0.000
-0.144 0.000 6.832
Ca Pd Cl
2 1 8
Direct
0.138 0.138 0.039
0.862 0.862 0.961
0.000 0.000 0.500
0.161 0.161 0.441
0.222 0.731 0.244
0.269 0.778 0.756
0.313 0.313 0.942
0.687 0.687 0.058
0.731 0.222 0.244
0.778 0.269 0.756
0.839 0.839 0.559
```

***

# 5
First-principles (PBE) data for a geometry-optimized Ca2PdCl structure, as listed in Alexandria.

Calculated values
**Uncorrected formation energy**: -0.922 eV per atom
**DOS at the Fermi energy**: 2.54 states/eV/f.u.
**E_tot**: -3.682 eV/atom

```
Ca2PdCl
1.0
7.268 0.000 0.000
0.000 7.268 0.000
0.000 0.000 7.268
Ca Pd Cl
8 4 4
Direct
0.250 0.250 0.250
0.250 0.250 0.750
0.250 0.750 0.250
0.250 0.750 0.750
0.750 0.250 0.250
0.750 0.250 0.750
0.750 0.750 0.250
0.750 0.750 0.750
0.000 0.000 0.000
0.000 0.500 0.500
0.500 0.000 0.500
0.500 0.500 0.000
0.000 0.000 0.500
0.000 0.500 0.000
0.500 0.000 0.000
0.500 0.500 0.500
```

***

# 6
First-principles (PBE) data for a geometry-optimized CaPdCl4 structure, as listed in Alexandria.

Calculated values
**Uncorrected formation energy**: -1.188 eV per atom
**DOS at the Fermi energy**: 0.95 states/eV/f.u.
**E_tot**: -3.618 eV/atom

```
CaPdCl4
1.0
-4.431 4.431 4.296
4.431 -4.431 4.296
4.431 4.431 -4.296
Ca Pd Cl
2 2 8
Direct
0.375 0.625 0.750
0.625 0.375 0.250
0.125 0.875 0.250
0.875 0.125 0.750
0.100 0.667 0.432
0.265 0.333 0.932
0.333 0.265 0.432
0.333 0.900 0.068
0.667 0.100 0.932
0.667 0.735 0.568
0.735 0.667 0.068
0.900 0.333 0.568
```

***

# 7
First-principles (PBE) data for a geometry-optimized CaPdCl4 structure, as listed in Alexandria.

Calculated values
**Uncorrected formation energy**: -1.324 eV per atom
**E_tot**: -3.755 eV/atom

```
CaPdCl4
1.0
5.563 -3.932 0.000
5.563 3.932 0.000
-0.014 0.000 7.583
Ca Pd Cl
2 2 8
Direct
0.000 0.500 0.000
0.500 0.000 0.500
0.000 0.000 0.250
0.000 0.000 0.750
0.218 0.778 0.000
0.222 0.782 0.500
0.229 0.231 0.251
0.231 0.229 0.751
0.769 0.771 0.249
0.771 0.769 0.749
0.778 0.218 0.500
0.782 0.222 0.000
```

***

# 8
First-principles (PBE) data for a geometry-optimized CaPdCl structure, as listed in Alexandria.

Calculated values
**Uncorrected formation energy**: -1.329 eV per atom
**DOS at the Fermi energy**: 0.61 states/eV/f.u.
**E_tot**: -4.343 eV/atom

```
CaPdCl
1.0
3.650 0.000 0.000
0.000 9.994 0.000
-3.642 0.000 3.666
Ca Pd Cl
2 2 2
Direct
0.000 0.229 0.250
0.000 0.771 0.750
0.000 0.052 0.750
0.000 0.948 0.250
0.000 0.355 0.750
0.000 0.645 0.250
```

***

# 9
First-principles (PBE) data for a geometry-optimized RbCaPdCl6 structure, as listed in Alexandria.

Calculated values
**Uncorrected formation energy**: -1.415 eV per atom
**DOS at the Fermi energy**: 1.38 states/eV/f.u.
**E_tot**: -3.553 eV/atom

```
RbCaPdCl6
1.0
-4.516 4.765 6.038
4.516 -4.765 6.038
4.516 4.765 -6.038
Rb Ca Pd Cl
2 2 2 12
Direct
0.407 0.157 0.250
0.593 0.843 0.750
0.000 0.000 0.500
0.000 0.500 0.000
0.000 0.500 0.500
0.500 0.500 0.000
0.123 0.873 0.250
0.164 0.452 0.342
0.164 0.822 0.712
0.192 0.442 0.750
0.390 0.178 0.842
0.390 0.548 0.212
0.610 0.452 0.788
0.610 0.822 0.158
0.808 0.558 0.250
0.836 0.178 0.288
0.836 0.548 0.658
0.877 0.127 0.750
```

***

# 10
First-principles (PBE) data for a geometry-optimized CaPdS2Cl structure, as listed in Alexandria.

Calculated values
**Uncorrected formation energy**: -0.726 eV per atom
**DOS at the Fermi energy**: 3.87 states/eV/f.u.
**E_tot**: -4.185 eV/atom

```
CaPdS2Cl
1.0
4.772 0.000 0.000
0.000 4.772 0.000
0.000 0.000 4.823
Ca Pd S Cl
1 1 2 1
Direct
0.000 0.000 0.000
0.500 0.500 0.500
0.000 0.500 0.500
0.500 0.000 0.500
0.500 0.500 0.000
```

***

# 11
First-principles (PBE) data for a geometry-optimized CaPdS2Cl structure, as listed in Alexandria.

Calculated values
**Uncorrected formation energy**: 0.075 eV per atom
**DOS at the Fermi energy**: 6.85 states/eV/f.u.
**E_tot**: -3.385 eV/atom

```
CaPdS2Cl
1.0
5.370 0.000 0.000
0.000 5.370 0.000
0.000 0.000 5.145
Ca Pd S Cl
1 1 2 1
Direct
0.000 0.000 0.000
0.500 0.500 0.500
0.000 0.500 0.000
0.500 0.000 0.000
0.000 0.000 0.500
```

***

# 12
First-principles (PBE) data for a geometry-optimized CaTl2PdCl6 structure, as listed in Alexandria.

Calculated values
**Uncorrected formation energy**: -1.190 eV per atom
**DOS at the Fermi energy**: 0.80 states/eV/f.u.
**E_tot**: -3.491 eV/atom

```
CaTl2PdCl6
1.0
3.636 2.099 12.868
-3.636 2.099 12.868
0.000 -4.199 12.868
Ca Tl Pd Cl
2 4 2 12
Direct
0.085 0.085 0.085
0.915 0.915 0.915
0.194 0.194 0.194
0.359 0.359 0.359
0.641 0.641 0.641
0.806 0.806 0.806
0.000 0.000 0.000
0.500 0.500 0.500
0.125 0.125 0.633
0.125 0.633 0.125
0.208 0.702 0.702
0.298 0.298 0.792
0.298 0.792 0.298
0.367 0.875 0.875
0.633 0.125 0.125
0.702 0.208 0.702
0.702 0.702 0.208
0.792 0.298 0.298
0.875 0.367 0.875
0.875 0.875 0.367
```

***

# 13
First-principles (PBE) data for a geometry-optimized CaPdWCl2 structure, as listed in Alexandria.

Calculated values
**Uncorrected formation energy**: -0.045 eV per atom
**DOS at the Fermi energy**: 4.82 states/eV/f.u.
**E_tot**: -4.814 eV/atom

```
CaPdWCl2
1.0
4.688 0.000 0.000
0.000 4.688 0.000
0.000 0.000 5.230
Ca Pd W Cl
1 1 1 2
Direct
0.000 0.000 0.000
0.500 0.500 0.000
0.500 0.500 0.500
0.000 0.500 0.500
0.500 0.000 0.500
```

***

# 14
First-principles (PBE) data for a geometry-optimized CaYPdCl2 structure, as listed in Alexandria.

Calculated values
**Uncorrected formation energy**: -0.835 eV per atom
**DOS at the Fermi energy**: 3.10 states/eV/f.u.
**E_tot**: -4.306 eV/atom

```
CaYPdCl2
1.0
4.975 0.000 0.000
0.000 4.975 0.000
0.000 0.000 5.750
Ca Y Pd Cl
1 1 1 2
Direct
0.000 0.000 0.000
0.500 0.500 0.500
0.000 0.000 0.500
0.000 0.500 0.000
0.500 0.000 0.000
```

***

# 15
First-principles (PBE) data for a geometry-optimized Ca2PmCl structure, as listed in Alexandria.

Calculated values
**Uncorrected formation energy**: -0.801 eV per atom
**DOS at the Fermi energy**: 2.66 states/eV/f.u.
**E_tot**: -3.451 eV/atom

```
Ca2PmCl
1.0
3.766 0.000 0.000
-1.883 3.262 0.000
0.000 0.000 30.689
Ca Pm Cl
6 3 3
Direct
0.000 0.000 0.236
0.000 0.000 0.764
0.333 0.667 0.431
0.333 0.667 0.902
0.667 0.333 0.098
0.667 0.333 0.569
0.000 0.000 0.000
0.333 0.667 0.667
0.667 0.333 0.333
0.000 0.000 0.500
0.333 0.667 0.167
0.667 0.333 0.833
```

***

# 16
First-principles (PBE) data for a geometry-optimized Ca2PmCl6 structure, as listed in Alexandria.

Calculated values
**Uncorrected formation energy**: -2.183 eV per atom
**DOS at the Fermi energy**: 0.74 states/eV/f.u.
**E_tot**: -4.387 eV/atom

```
Ca2PmCl6
1.0
6.671 0.000 0.000
0.000 6.671 0.000
0.000 0.000 12.067
Ca Pm Cl
4 2 12
Direct
0.000 0.000 0.175
0.000 0.000 0.825
0.500 0.500 0.325
0.500 0.500 0.675
0.000 0.000 0.500
0.500 0.500 0.000
0.199 0.199 0.000
0.208 0.208 0.333
0.208 0.208 0.667
0.292 0.708 0.167
0.292 0.708 0.833
0.301 0.699 0.500
0.699 0.301 0.500
0.708 0.292 0.167
0.708 0.292 0.833
0.792 0.792 0.333
0.792 0.792 0.667
0.801 0.801 0.000
```

***

# 17
First-principles (PBE) data for a geometry-optimized CaPmCl2 structure, as listed in Alexandria.

Calculated values
**Uncorrected formation energy**: -1.431 eV per atom
**DOS at the Fermi energy**: 3.06 states/eV/f.u.
**E_tot**: -4.042 eV/atom

```
CaPmCl2
1.0
3.889 0.000 0.000
-1.945 3.368 0.000
0.000 0.000 27.149
Ca Pm Cl
3 3 6
Direct
0.000 0.000 0.000
0.333 0.667 0.667
0.667 0.333 0.333
0.000 0.000 0.500
0.333 0.667 0.167
0.667 0.333 0.833
0.000 0.000 0.391
0.000 0.000 0.609
0.333 0.667 0.058
0.333 0.667 0.276
0.667 0.333 0.724
0.667 0.333 0.942
```

***

# 18
First-principles (PBE) data for a geometry-optimized CaPmCl4 structure, as listed in Alexandria.

Calculated values
**Uncorrected formation energy**: -2.129 eV per atom
**DOS at the Fermi energy**: 1.92 states/eV/f.u.
**E_tot**: -4.486 eV/atom

```
CaPmCl4
1.0
7.085 0.000 0.000
0.000 3.792 0.000
-2.336 0.000 6.991
Ca Pm Cl
1 1 4
Direct
0.000 0.000 0.000
0.000 0.500 0.500
0.222 0.500 0.243
0.237 0.000 0.768
0.763 0.000 0.232
0.778 0.500 0.757
```

***

# 19
First-principles (PBE) data for a geometry-optimized CaPmCl6 structure, as listed in Alexandria.

Calculated values
**Uncorrected formation energy**: -1.860 eV per atom
**DOS at the Fermi energy**: 12.28 states/eV/f.u.
**E_tot**: -4.089 eV/atom

```
CaPmCl6
1.0
0.000 5.451 5.451
5.451 0.000 5.451
5.451 5.451 0.000
Ca Pm Cl
1 1 6
Direct
0.000 0.000 0.000
0.500 0.500 0.500
0.251 0.251 0.749
0.251 0.749 0.251
0.251 0.749 0.749
0.749 0.251 0.251
0.749 0.251 0.749
0.749 0.749 0.251
```

***

# 20
First-principles (PBE) data for a geometry-optimized CaPm2Cl8 structure, as listed in Alexandria.

Calculated values
**Uncorrected formation energy**: -2.298 eV per atom
**DOS at the Fermi energy**: 0.00 states/eV/f.u.
**E_tot**: -4.686 eV/atom

```
CaPm2Cl8
1.0
10.764 -2.004 0.000
10.764 2.004 0.000
-1.213 0.000 7.777
Ca Pm Cl
1 2 8
Direct
0.000 0.000 0.000
0.341 0.341 0.664
0.659 0.659 0.336
0.116 0.116 0.524
0.130 0.130 0.066
0.256 0.256 0.332
0.479 0.479 0.764
0.521 0.521 0.236
0.744 0.744 0.668
0.870 0.870 0.934
0.884 0.884 0.476
```

***

# 21
First-principles (PBE) data for a geometry-optimized RbCa2PmCl8 structure, as listed in Alexandria.

Calculated values
**Uncorrected formation energy**: -2.258 eV per atom
**DOS at the Fermi energy**: 0.00 states/eV/f.u.
**E_tot**: -4.299 eV/atom

```
RbCa2PmCl8
1.0
6.511 0.000 0.000
0.000 8.818 0.000
-0.064 0.000 6.731
Rb Ca Pm Cl
1 2 1 8
Direct
0.000 0.000 0.000
0.500 0.246 0.500
0.500 0.754 0.500
0.000 0.500 0.000
0.238 0.286 0.179
0.238 0.714 0.179
0.273 0.500 0.678
0.285 0.000 0.630
0.715 0.000 0.370
0.727 0.500 0.322
0.762 0.286 0.821
0.762 0.714 0.821
```

***

# 22
First-principles (PBE) data for a geometry-optimized CaPmTlCl6 structure, as listed in Alexandria.

Calculated values
**Uncorrected formation energy**: -2.060 eV per atom
**DOS at the Fermi energy**: 0.00 states/eV/f.u.
**E_tot**: -4.304 eV/atom

```
CaPmTlCl6
1.0
7.225 0.000 0.000
-3.613 6.257 0.000
0.000 0.000 13.738
Ca Pm Tl Cl
2 2 2 12
Direct
0.333 0.667 0.250
0.667 0.333 0.750
0.333 0.667 0.750
0.667 0.333 0.250
0.000 0.000 0.000
0.000 0.000 0.500
0.002 0.373 0.639
0.002 0.629 0.861
0.371 0.373 0.861
0.371 0.998 0.639
0.373 0.002 0.139
0.373 0.371 0.361
0.627 0.629 0.639
0.627 0.998 0.861
0.629 0.002 0.361
0.629 0.627 0.139
0.998 0.371 0.139
0.998 0.627 0.361
```

***

# 23
First-principles (PBE) data for a geometry-optimized CaPr2Cl structure, as listed in Alexandria.

Calculated values
**Uncorrected formation energy**: -0.520 eV per atom
**DOS at the Fermi energy**: 5.63 states/eV/f.u.
**E_tot**: -3.871 eV/atom

```
CaPr2Cl
1.0
3.602 0.000 0.000
-1.801 3.120 0.000
0.000 0.000 34.752
Ca Pr Cl
3 6 3
Direct
0.000 0.000 0.000
0.333 0.667 0.667
0.667 0.333 0.333
0.000 0.000 0.101
0.000 0.000 0.899
0.333 0.667 0.566
0.333 0.667 0.767
0.667 0.333 0.233
0.667 0.333 0.434
0.000 0.000 0.500
0.333 0.667 0.167
0.667 0.333 0.833
```